Record 1
! Ca2FeGe4Ir3 | Alexandria | PBE | relaxed; values from VASP
! - energy of formation (eV/atom) = -0.521
! - calculated volume (Å³ per cell) = 181
! - total energy (eV per cell) = -62.72
&SYSTEM
  ibrav = 0, nat = 10, ntyp = 4
/
ATOMIC_SPECIES
Ca 40.08 Ca.upf
Fe 55.84 Fe.upf
Ge 72.64 Ge.upf
Ir 192.22 Ir.upf
ATOMIC_POSITIONS angstrom
Ca 0.000 2.119 2.459
Ca 2.119 0.000 7.637
Fe 2.119 2.119 0.000
Ge 0.000 0.000 5.048
Ge 0.000 2.119 8.868
Ge 2.119 0.000 1.229
Ge 2.119 2.119 5.048
Ir 0.000 0.000 0.000
Ir 0.000 2.119 6.366
Ir 2.119 0.000 3.730
CELL_PARAMETERS angstrom
4.237 0.000 0.000
0.000 4.237 0.000
0.000 0.000 10.096


Record 2
! KCa2FeGe | Alexandria | PBE | relaxed; values from VASP
! - energy of formation (eV/atom) = 0.118
! - calculated volume (Å³ per cell) = 143
! - total energy (eV per cell) = -17.59
&SYSTEM
  ibrav = 0, nat = 5, ntyp = 4
/
ATOMIC_SPECIES
K 39.10 K.upf
Ca 40.08 Ca.upf
Fe 55.84 Fe.upf
Ge 72.64 Ge.upf
ATOMIC_POSITIONS angstrom
K 0.000 0.000 0.000
Ca 0.000 2.761 2.347
Ca 2.761 0.000 2.347
Fe 2.761 2.761 2.347
Ge 2.761 2.761 0.000
CELL_PARAMETERS angstrom
5.522 0.000 0.000
0.000 5.522 0.000
0.000 0.000 4.693


Which value of energy of formation does entry 2 give? 0.118 eV/atom


Which of these has the lowest energy of formation? Ca2FeGe4Ir3


What did the first record say?
! Ca2FeGe4Ir3 | Alexandria | PBE | relaxed; values from VASP
! - energy of formation (eV/atom) = -0.521
! - calculated volume (Å³ per cell) = 181
! - total energy (eV per cell) = -62.72
&SYSTEM
  ibrav = 0, nat = 10, ntyp = 4
/
ATOMIC_SPECIES
Ca 40.08 Ca.upf
Fe 55.84 Fe.upf
Ge 72.64 Ge.upf
Ir 192.22 Ir.upf
ATOMIC_POSITIONS angstrom
Ca 0.000 2.119 2.459
Ca 2.119 0.000 7.637
Fe 2.119 2.119 0.000
Ge 0.000 0.000 5.048
Ge 0.000 2.119 8.868
Ge 2.119 0.000 1.229
Ge 2.119 2.119 5.048
Ir 0.000 0.000 0.000
Ir 0.000 2.119 6.366
Ir 2.119 0.000 3.730
CELL_PARAMETERS angstrom
4.237 0.000 0.000
0.000 4.237 0.000
0.000 0.000 10.096